Dy4Mg5Tc2: relaxed, PBE.

Properties
calculated volume = 25.4 Å³/atom
density = 5.75 Mg/m³
size of the total moment = 0.00 μB per atom
N(E_F) = 9.0 states/eV/f.u.
formation energy from the elements = -0.010 eV/atom

Lattice parameters (Å, degrees): 7.834 3.733 9.594 90.00 95.44 90.00
Sites, in units of the cell vectors:
Dy (0.174, 0.000, 0.341)
Dy (0.219, 0.000, 0.942)
Dy (0.781, 0.000, 0.058)
Dy (0.826, 0.000, 0.659)
Mg (0.173, 0.500, 0.650)
Mg (0.443, 0.500, 0.173)
Mg (0.500, 0.500, 0.500)
Mg (0.557, 0.500, 0.827)
Mg (0.827, 0.500, 0.350)
Tc (0.064, 0.500, 0.131)
Tc (0.936, 0.500, 0.869)